A geometry-optimized Tl2GaFeF structure, computed with PBE with a Hubbard U.

- Total DFT energy (no corrections): -3.047 eV per atom

```
5
Lattice="5.3971 0.0000 0.0000 0.0000 5.3971 0.0000 0.0000 0.0000 4.8933" Properties=species:S:1:pos:R:3 pbc="T T T"
Tl 0.0000 2.6986 0.0000
Tl 2.6986 0.0000 0.0000
Ga 0.0000 0.0000 2.4466
Fe 0.0000 0.0000 0.0000
F 2.6986 2.6986 2.4466
```